Entry 1:
Material: Ac5Sn3Hg
Method: DFT, PBE
State: relaxed

Output
- E (eV per atom) = -4.257
- ΔH_f (0 K) (eV/atom) = -0.606
- volume (Å³ per cell) = 647.2

a = 10.1351 Å, b = 10.1351 Å, c = 7.2753 Å
α = 90.00°, β = 90.00°, γ = 120.00°
With the nearest neighbours (Å) after each atom.
Element x y z (fractional)
Ac 0.0000 0.2796 0.2500  2 Hg 3.37, 5 Sn 3.43-3.77
Ac 0.0000 0.7204 0.7500  2 Hg 3.37, 5 Sn 3.43-3.77
Ac 0.2796 0.0000 0.2500  2 Hg 3.37, 5 Sn 3.43-3.77
Ac 0.2796 0.2796 0.7500  2 Hg 3.37, 5 Sn 3.43-3.77
Ac 0.3333 0.6667 0.0000  2 Ac 3.64, 6 Sn 3.67
Ac 0.3333 0.6667 0.5000  2 Ac 3.64, 6 Sn 3.67
Ac 0.6667 0.3333 0.0000  2 Ac 3.64, 6 Sn 3.67
Ac 0.6667 0.3333 0.5000  2 Ac 3.64, 6 Sn 3.67
Ac 0.7204 0.0000 0.7500  2 Hg 3.37, 5 Sn 3.43-3.77
Ac 0.7204 0.7204 0.2500  2 Hg 3.37, 5 Sn 3.43-3.77
Sn 0.0000 0.3765 0.7500  9 Ac 3.43-3.77
Sn 0.0000 0.6235 0.2500  9 Ac 3.43-3.77
Sn 0.3765 0.0000 0.7500  9 Ac 3.43-3.77
Sn 0.3765 0.3765 0.2500  9 Ac 3.43-3.77
Sn 0.6235 0.0000 0.2500  9 Ac 3.43-3.77
Sn 0.6235 0.6235 0.7500  9 Ac 3.43-3.77
Hg 0.0000 0.0000 0.0000  6 Ac 3.37, 2 Hg 3.64
Hg 0.0000 0.0000 0.5000  6 Ac 3.37, 2 Hg 3.64

Entry 2:
Material: AcSn2Hg6
Method: DFT, PBE
State: relaxed

Output
- energy above the lowest structure with this stoichiometry (meV/atom) = 0
- E (eV per atom) = -1.731
- ΔH_f (0 K) (eV/atom) = -0.184
- volume (Å³ per cell) = 248.5

a = 6.2452 Å, b = 6.2452 Å, c = 6.4966 Å
α = 94.55°, β = 94.55°, γ = 98.86°
With the nearest neighbours (Å) after each atom.
Element x y z (fractional)
Ac 0.0000 0.0000 0.0000  10 Hg 3.35-3.56, 4 Sn 3.58
Sn 0.1594 0.8406 0.5000  1 Sn 3.02, 4 Hg 3.09-3.22
Sn 0.8406 0.1594 0.5000  1 Sn 3.02, 4 Hg 3.09-3.22
Hg 0.1666 0.5023 0.8219  2 Sn 3.09-3.22, 4 Hg 3.18-3.33
Hg 0.3490 0.3490 0.3323  3 Hg 3.08-3.28, 1 Ac 3.35
Hg 0.4977 0.8334 0.1781  2 Sn 3.09-3.22, 4 Hg 3.18-3.33
Hg 0.5023 0.1666 0.8219  2 Sn 3.09-3.22, 4 Hg 3.18-3.33
Hg 0.6510 0.6510 0.6677  3 Hg 3.08-3.28, 1 Ac 3.35
Hg 0.8334 0.4977 0.1781  2 Sn 3.09-3.22, 4 Hg 3.18-3.33

Entry 3:
Material: Ac3Sn3Hg2
Method: DFT, PBE
State: relaxed

Output
- E (eV per atom) = -3.699
- ΔH_f (0 K) (eV/atom) = -0.582
- volume (Å³ per cell) = 504.3

a = 6.6733 Å, b = 6.6733 Å, c = 16.6919 Å
α = 90.00°, β = 90.00°, γ = 137.28°
With the nearest neighbours (Å) after each atom.
Element x y z (fractional)
Ac 0.0691 0.9309 0.6111  6 Sn 3.42-3.59, 3 Hg 3.51-3.68
Ac 0.0691 0.9309 0.8889  6 Sn 3.42-3.59, 3 Hg 3.51-3.68
Ac 0.3448 0.6552 0.7500  5 Sn 3.44-3.69, 4 Hg 3.54
Ac 0.6552 0.3448 0.2500  5 Sn 3.44-3.69, 4 Hg 3.54
Ac 0.9309 0.0691 0.1111  6 Sn 3.42-3.59, 3 Hg 3.51-3.68
Ac 0.9309 0.0691 0.3889  6 Sn 3.42-3.59, 3 Hg 3.51-3.68
Sn 0.3782 0.6218 0.2500  2 Hg 3.07, 4 Ac 3.42
Sn 0.3791 0.6209 0.5410  3 Hg 2.96-3.08, 1 Sn 3.30
Sn 0.3791 0.6209 0.9590  3 Hg 2.96-3.08, 1 Sn 3.30
Sn 0.6209 0.3791 0.0410  3 Hg 2.96-3.08, 1 Sn 3.30
Sn 0.6209 0.3791 0.4590  3 Hg 2.96-3.08, 1 Sn 3.30
Sn 0.6218 0.3782 0.7500  2 Hg 3.07, 4 Ac 3.42
Hg 0.2270 0.7730 0.1050  4 Sn 2.96-3.08
Hg 0.2270 0.7730 0.3950  4 Sn 2.96-3.08
Hg 0.7730 0.2270 0.6050  4 Sn 2.96-3.08
Hg 0.7730 0.2270 0.8950  4 Sn 2.96-3.08

Entry 4:
Material: AcSnHg
Method: DFT, PBE
State: relaxed

Output
- energy above the lowest structure with this stoichiometry (meV/atom) = 153
- E (eV per atom) = -3.220
- ΔH_f (0 K) (eV/atom) = -0.416
- volume (Å³ per cell) = 582.4

a = 10.6132 Å, b = 10.6132 Å, c = 10.6132 Å
α = 116.30°, β = 116.30°, γ = 116.30°
With the nearest neighbours (Å) after each atom.
Element x y z (fractional)
Ac 0.0831 0.6769 0.7747  5 Hg 3.37-3.76, 4 Sn 3.42-3.74
Ac 0.2253 0.9169 0.3231  5 Hg 3.37-3.76, 4 Sn 3.42-3.74
Ac 0.3231 0.2253 0.9169  5 Hg 3.37-3.76, 4 Sn 3.42-3.74
Ac 0.6769 0.7747 0.0831  5 Hg 3.37-3.76, 4 Sn 3.42-3.74
Ac 0.7747 0.0831 0.6769  5 Hg 3.37-3.76, 4 Sn 3.42-3.74
Ac 0.9169 0.3231 0.2253  5 Hg 3.37-3.76, 4 Sn 3.42-3.74
Sn 0.2258 0.2759 0.4422  1 Hg 3.06, 2 Sn 3.08, 1 Ac 3.42
Sn 0.2759 0.4422 0.2258  1 Hg 3.06, 2 Sn 3.08, 1 Ac 3.42
Sn 0.4422 0.2258 0.2759  1 Hg 3.06, 2 Sn 3.08, 1 Ac 3.42
Sn 0.5578 0.7742 0.7241  1 Hg 3.06, 2 Sn 3.08, 1 Ac 3.42
Sn 0.7241 0.5578 0.7742  1 Hg 3.06, 2 Sn 3.08, 1 Ac 3.42
Sn 0.7742 0.7241 0.5578  1 Hg 3.06, 2 Sn 3.08, 1 Ac 3.42
Hg 0.0932 0.2925 0.6477  2 Hg 3.05, 1 Sn 3.06, 3 Ac 3.37-3.39
Hg 0.2925 0.6477 0.0932  2 Hg 3.05, 1 Sn 3.06, 3 Ac 3.37-3.39
Hg 0.3523 0.9068 0.7075  2 Hg 3.05, 1 Sn 3.06, 3 Ac 3.37-3.39
Hg 0.6477 0.0932 0.2925  2 Hg 3.05, 1 Sn 3.06, 3 Ac 3.37-3.39
Hg 0.7075 0.3523 0.9068  2 Hg 3.05, 1 Sn 3.06, 3 Ac 3.37-3.39
Hg 0.9068 0.7075 0.3523  2 Hg 3.05, 1 Sn 3.06, 3 Ac 3.37-3.39

Among the records above, which one has the lowest E? Ac5Sn3Hg

Among the records above, which one has the highest ΔH_f (0 K)? AcSn2Hg6

What is the ΔH_f (0 K) in the fourth record? -0.416 eV/atom

The lowest ΔH_f (0 K) belongs to which entry? Ac5Sn3Hg